# K2Cd2In3

K2Cd2In3 after structural relaxation (GGA-PBE, Alexandria).

## Properties
ΔE_f (eV per formula unit): -0.40
Crystal system: monoclinic
Magnetization (μB/cell): 0.00
Density of states at the Fermi level (states/eV/f.u.): 2.887
Density (Mg/m³): 4.81
Space group: C2/m

Structure (extended XYZ):
```
7
Lattice="-3.564 1.955 -1.629 -1.811 -4.205 4.803 1.655 6.772 4.505" Properties=species:S:1:pos:R:3 pbc="T T T"
K -2.241 2.338 1.823
K -1.479 2.184 5.856
Cd 0.568 4.012 3.571
Cd -4.288 0.511 4.109
In -2.097 -1.314 3.010
In 0.000 0.000 0.000
In -1.624 5.837 4.669
```